(1)
! K3Tl7In2 (PBE-GGA, optimized geometry); values from VASP
! Energy above the most stable polymorph in this dataset   36.6 meV/atom
! Symmetry   P2/m, No. 10
! Magnetization   0.00 μB per atom
&SYSTEM
  ibrav = 0, nat = 12, ntyp = 3
/
ATOMIC_SPECIES
Tl 204.38 Tl.upf
K 39.10 K.upf
In 114.82 In.upf
ATOMIC_POSITIONS crystal
Tl 0.0000 0.7403 0.1949
Tl 0.0000 0.5811 0.4304
Tl 0.0000 0.0000 0.0000
Tl 0.0000 0.2597 0.8051
Tl 0.5000 0.7900 0.7216
Tl 0.0000 0.4189 0.5696
Tl 0.5000 0.2100 0.2784
K 0.5000 0.0447 0.6201
K 0.5000 0.9553 0.3799
K 0.5000 0.5000 0.0000
In 0.0000 0.2535 0.1984
In 0.0000 0.7465 0.8016
CELL_PARAMETERS angstrom
-3.0226 -0.7592 3.8431
-4.8333 -1.3541 -4.0689
15.2664 -9.9967 10.0322

---

(2)
! NdSmY2S6 (PBE-GGA, optimized geometry); values from VASP
! ΔE_f (raw)   -2.043 eV per atom
! Symmetry   R3, No. 146
! Magnetization   0.00 μB per atom
&SYSTEM
  ibrav = 0, nat = 10, ntyp = 4
/
ATOMIC_SPECIES
S 32.06 S.upf
Sm 150.36 Sm.upf
Y 88.91 Y.upf
Nd 144.24 Nd.upf
ATOMIC_POSITIONS crystal
S 0.9054 0.6244 0.2468
S 0.1306 0.3993 0.7471
S 0.7231 0.1306 0.7471
S 0.3992 0.7231 0.7470
S 0.2234 0.9054 0.2467
S 0.6244 0.2235 0.2467
Sm 0.3127 0.3127 0.0619
Y 0.5168 0.5167 0.4499
Y 0.0154 0.0155 0.9537
Nd 0.8105 0.8105 0.5684
CELL_PARAMETERS angstrom
-0.7016 -0.0460 -7.0031
1.0821 -5.9462 -3.6068
-5.8818 -3.4618 -2.9247

---

(3)
! Cd3Si (PBE-GGA, optimized geometry); values from VASP
! ΔE_f (raw)   0.280 eV per atom
! Energy above the most stable polymorph in this dataset   73.6 meV/atom
! Symmetry   Pmmn, No. 59
! Magnetization   0.00 μB per atom
&SYSTEM
  ibrav = 0, nat = 8, ntyp = 2
/
ATOMIC_SPECIES
Cd 112.41 Cd.upf
Si 28.09 Si.upf
ATOMIC_POSITIONS crystal
Cd 0.0000 0.2467 0.7500
Cd 0.0000 0.7458 0.5000
Cd 0.0000 0.2467 0.2500
Cd 0.5000 0.7533 0.2500
Cd 0.5000 0.7533 0.7500
Cd 0.5000 0.2542 0.0000
Si 0.5000 0.2522 0.5000
Si 0.0000 0.7478 0.0000
CELL_PARAMETERS angstrom
5.5197 0.0000 0.0000
0.0000 5.5183 0.0000
0.0000 0.0000 5.7221